First-principles (PBE) data for an optimized crystal structure of LuHg2Pd, as listed in Alexandria.

Structure (POSCAR):
```
LuHg2Pd
1.0
0.0000 3.4502 3.4502
3.4502 0.0000 3.4502
3.4502 3.4502 0.0000
Lu Hg Pd
1 2 1
direct
0.0000 0.0000 0.0000
0.2500 0.2500 0.2500
0.7500 0.7500 0.7500
0.5000 0.5000 0.5000
```

Magnetic moment ... 0.00 μB/cell
DFT total energy ... -3.005 eV/atom
Energy of formation from the pure elements ... -0.426 eV per atom
Space-group type ... Fm-3m

=====

First-principles (PBE) data for an optimized crystal structure of CaNd4Bi5, as listed in Alexandria.

Structure (POSCAR):
```
CaNd4Bi5
1.0
-2.3018 3.2646 11.5682
2.3018 -3.2646 11.5682
2.3018 3.2646 -11.5682
Ca Nd Bi
1 4 5
direct
0.0000 0.0000 0.0000
0.1994 0.1994 0.0000
0.4011 0.4011 0.0000
0.5989 0.5989 0.0000
0.8006 0.8006 0.0000
0.1016 0.6016 0.5000
0.3005 0.8005 0.5000
0.5000 0.0000 0.5000
0.6995 0.1995 0.5000
0.8984 0.3984 0.5000
```

Magnetic moment ... 0.00 μB/cell
DFT total energy ... -4.930 eV/atom
Energy of formation from the pure elements ... -0.882 eV per atom
Space-group type ... Immm

=====

First-principles (PBE) data for an optimized crystal structure of MgZrInHg, as listed in Alexandria.

Structure (POSCAR):
```
MgZrInHg
1.0
4.2661 0.0000 0.0000
0.0000 4.3955 0.0000
0.0000 0.0000 4.5778
Mg Zr In Hg
1 1 1 1
direct
0.0000 0.0000 0.0000
0.0000 0.5000 0.5000
0.5000 0.0000 0.5000
0.5000 0.5000 0.0000
```

Magnetic moment ... 0.00 μB/cell
DFT total energy ... -3.550 eV/atom
Energy above the most stable polymorph in this dataset ... 0.000 eV per atom
Energy of formation from the pure elements ... -0.255 eV per atom
Space-group type ... Pmmm

=====

The highest energy of formation from the pure elements belongs to which entry? MgZrInHg